1.
A crystal of Li14MgSi4 relaxed with PBEsol. Source: Alexandria via LeMat-Bulk, functional meta-GGA SCAN.

POSCAR file:
```
Li14MgSi4
1.0
-5.274 5.274 5.290
5.274 -5.274 5.290
5.274 5.274 -5.290
Li Mg Si
28 2 8
direct
0.017 0.350 0.408
0.040 0.567 0.278
0.100 0.267 0.908
0.160 0.786 0.941
0.214 0.155 0.374
0.238 0.960 0.527
0.251 0.625 0.126
0.288 0.762 0.722
0.317 0.290 0.778
0.358 0.192 0.092
0.375 0.501 0.626
0.392 0.983 0.334
0.433 0.712 0.473
0.462 0.683 0.973
0.499 0.125 0.874
0.512 0.538 0.222
0.536 0.410 0.441
0.590 0.031 0.126
0.650 0.058 0.666
0.710 0.488 0.027
0.733 0.642 0.834
0.781 0.840 0.626
0.808 0.900 0.166
0.845 0.219 0.059
0.875 0.749 0.374
0.905 0.464 0.874
0.942 0.608 0.592
0.969 0.095 0.559
0.000 0.000 0.000
0.750 0.250 0.500
0.036 0.791 0.163
0.123 0.459 0.745
0.127 0.964 0.755
0.209 0.373 0.245
0.541 0.286 0.663
0.623 0.877 0.337
0.627 0.873 0.837
0.714 0.377 0.255
```

E (eV per cell): -167.123
Space-group type: I-42d (122)
Uncorrected formation energy (meV per atom): -267



2.
A crystal of LiMg4Si relaxed with PBEsol. Source: Alexandria via LeMat-Bulk, functional meta-GGA SCAN.

POSCAR file:
```
LiMg4Si
1.0
0.000 4.014 4.014
4.014 0.000 4.014
4.014 4.014 0.000
Li Mg Si
1 4 1
direct
0.000 0.000 0.000
0.126 0.625 0.625
0.625 0.126 0.625
0.625 0.625 0.126
0.625 0.625 0.625
0.250 0.250 0.250
```

E (eV per cell): -30.671
Space-group type: F-43m (216)
Uncorrected formation energy (meV per atom): 272



3.
A crystal of LiMg2Si relaxed with PBEsol. Source: Alexandria via LeMat-Bulk, functional meta-GGA SCAN.

POSCAR file:
```
LiMg2Si
1.0
4.223 0.000 0.000
0.000 4.223 0.000
0.000 0.000 3.912
Li Mg Si
1 2 1
direct
0.000 0.000 0.000
0.000 0.500 0.500
0.500 0.000 0.500
0.500 0.500 0.000
```

E (eV per cell): -22.671
Space-group type: P4/mmm (123)
Uncorrected formation energy (meV per atom): -79